Entry 1:
The following is a DFT calculation (PBE) of a relaxed K2Ga3GePt4 crystal.

Calculated values
- ΔE_f (meV/atom) = -498
- magnetic moment (μB/f.u.) = 0.00
- SG = No. 115
- electronic total energy (eV/f.u.) = -45.0

Cell lengths 4.3667, 4.3667, 10.6520 Å; angles 90.00, 90.00, 90.00 degrees
Fractional coordinates of all 10 atoms:
Pt (0.5000, 0.5000, 0.0000)
Pt (0.5000, 0.0000, 0.6250)
Pt (0.0000, 0.0000, 0.0000)
K (0.0000, 0.5000, 0.7520)
Ga (0.0000, 0.0000, 0.5000)
K (0.5000, 0.0000, 0.2480)
Ga (0.0000, 0.5000, 0.1298)
Ga (0.5000, 0.0000, 0.8702)
Ge (0.5000, 0.5000, 0.5000)
Pt (0.0000, 0.5000, 0.3750)

***

Entry 2:
The following is a DFT calculation (PBE) of a relaxed KGaGePt crystal.

Calculated values
- ΔE_f (meV/atom) = -380
- magnetic moment (μB/f.u.) = 0.00
- SG = No. 8
- electronic total energy (eV/f.u.) = -16.3

Cell lengths 4.3541, 4.3541, 6.5997 Å; angles 109.16, 109.15, 59.98 degrees
Fractional coordinates of all 4 atoms:
Ge (0.2813, 0.2813, 0.6828)
Ga (0.6808, 0.6808, 0.8821)
K (0.4824, 0.4824, 0.2867)
Pt (0.9861, 0.9861, 0.7976)